{"formula": "Ac3Si3Au2", "functional": "PBE-GGA", "state": "optimized geometry", "density_g_cm3": 9.128, "formation_energy_uncorrected_ev_per_atom": -0.704, "final_energy_ev_per_atom": -5.097, "lattice": [[-2.0481, -3.9470, -0.5141], [2.6523, 0.4304, 5.6179], [-13.6812, 6.3209, 5.9749]], "species": ["Ac", "Ac", "Ac", "Ac", "Ac", "Ac", "Si", "Si", "Si", "Si", "Si", "Si", "Au", "Au", "Au", "Au"], "fractional_positions": [[0.8524, 0.7048, 0.4043], [0.1476, 0.2952, 0.9043], [0.8524, 0.7048, 0.0957], [0.1476, 0.2952, 0.5957], [0.5663, 0.1325, 0.2500], [0.4337, 0.8675, 0.7500], [0.5698, 0.1396, 0.4470], [0.4302, 0.8604, 0.9470], [0.5698, 0.1396, 0.0530], [0.4302, 0.8604, 0.5530], [0.2830, 0.5660, 0.2500], [0.7170, 0.4340, 0.7500], [0.8580, 0.7160, 0.8858], [0.1420, 0.2840, 0.3858], [0.8580, 0.7160, 0.6142], [0.1420, 0.2840, 0.1142]]}

***

{"formula": "Ca2SmEu", "functional": "PBE-GGA", "state": "optimized geometry", "e_form_ev_per_fu": 0.3, "density_g_cm3": 4.039, "final_energy_ev_per_atom": -4.669, "lattice": [[4.1537, 0.0000, 0.0000], [0.0000, 4.1537, 0.0000], [0.0000, 0.0000, 9.1132]], "species": ["Eu", "Ca", "Ca", "Sm"], "fractional_positions": [[0.5000, 0.5000, 0.5000], [0.0000, 0.0000, 0.7642], [0.0000, 0.0000, 0.2358], [0.5000, 0.5000, 0.0000]]}

***

{"formula": "CuPd5Pb", "functional": "PBE-GGA", "state": "optimized geometry", "e_form_ev_per_fu": 0.7, "density_g_cm3": 10.196, "final_energy_ev_per_atom": -4.726, "lattice": [[7.3652, 0.7972, 1.8299], [3.0927, 6.7318, 1.8299], [5.5297, 3.9810, 7.4855]], "species": ["Cu", "Cu", "Pd", "Pd", "Pd", "Pd", "Pd", "Pd", "Pd", "Pd", "Pd", "Pd", "Pb", "Pb"], "fractional_positions": [[0.0000, 0.0000, 0.0000], [0.0000, 0.0000, 0.5000], [0.6245, 0.7076, 0.2577], [0.1883, 0.4510, 0.5275], [0.7076, 0.6245, 0.7577], [0.0537, 0.9463, 0.2500], [0.5490, 0.8117, 0.9725], [0.4510, 0.1883, 0.0275], [0.9463, 0.0537, 0.7500], [0.2924, 0.3755, 0.2423], [0.8117, 0.5490, 0.4725], [0.3755, 0.2924, 0.7423], [0.6907, 0.3093, 0.2500], [0.3093, 0.6907, 0.7500]]}

***

{"formula": "La2Sn3Hg3", "functional": "PBE-GGA", "state": "optimized geometry", "e_form_ev_per_fu": -4.2, "density_g_cm3": 9.467, "final_energy_ev_per_atom": -3.370, "lattice": [[4.8677, 0.0000, 0.0000], [0.0000, 4.7608, 0.0000], [0.0000, 0.0000, 9.3528]], "species": ["La", "La", "Sn", "Sn", "Sn", "Hg", "Hg", "Hg"], "fractional_positions": [[0.0000, 0.0000, 0.7477], [0.0000, 0.0000, 0.2523], [0.5000, 0.0000, 0.5000], [0.0000, 0.5000, 0.0000], [0.0000, 0.5000, 0.5000], [0.5000, 0.5000, 0.7506], [0.5000, 0.5000, 0.2494], [0.5000, 0.0000, 0.0000]]}

***

{"formula": "TlRe2Hg", "functional": "PBE-GGA", "state": "optimized geometry", "e_form_ev_per_fu": 4.6, "density_g_cm3": 17.584, "final_energy_ev_per_atom": -5.748, "lattice": [[-2.7800, 0.8371, -0.4253], [1.4678, -1.3620, -2.1449], [-3.1372, -8.7019, 3.3788]], "species": ["Hg", "Re", "Re", "Tl"], "fractional_positions": [[0.5000, 0.5000, 0.7500], [0.0000, 0.0000, 0.9991], [0.0000, 0.0000, 0.5009], [0.5000, 0.5000, 0.2500]]}

***

{"formula": "AsH6I3", "functional": "PBE-GGA", "state": "optimized geometry", "density_g_cm3": 4.129, "final_energy_ev_per_atom": -2.616, "lattice": [[-1.8199, -4.2995, 3.9756], [-3.3994, -1.5820, -3.2670], [6.5952, -11.3746, -1.3546]], "species": ["As", "As", "H", "H", "H", "H", "H", "H", "H", "H", "H", "H", "H", "H", "I", "I", "I", "I", "I", "I"], "fractional_positions": [[0.5000, 0.5000, 0.5000], [0.0000, 0.0000, 0.0000], [0.7864, 0.2220, 0.9926], [0.5272, 0.2995, 0.5984], [0.7286, 0.3787, 0.3805], [0.2715, 0.6213, 0.6195], [0.4728, 0.7005, 0.4016], [0.2136, 0.7780, 0.0074], [0.2864, 0.2780, 0.4926], [0.0272, 0.2005, 0.0984], [0.2286, 0.1213, 0.8805], [0.7714, 0.8787, 0.1195], [0.9728, 0.7995, 0.9016], [0.7136, 0.7220, 0.5074], [0.5066, 0.1040, 0.7385], [0.5000, 0.5000, 0.0000], [0.4934, 0.8960, 0.2615], [0.0066, 0.3960, 0.2385], [0.0000, 0.0000, 0.5000], [0.9934, 0.6040, 0.7615]]}